# PmBPd2 | Alexandria | PBE-GGA | optimized geometry
data_PmBPd2
_chemical_formula_sum 'Pm3 B3 Pd6'
_symmetry_space_group_name_H-M 'P 1'
_symmetry_Int_Tables_number 1
_cell_length_a 5.418
_cell_length_b 5.418
_cell_length_c 8.086
_cell_angle_alpha 90.00
_cell_angle_beta 90.00
_cell_angle_gamma 120.00
loop_
_symmetry_equiv_pos_as_xyz
'x,y,z'
loop_
_atom_site_label
_atom_site_type_symbol
_atom_site_fract_x
_atom_site_fract_y
_atom_site_fract_z
_atom_site_occupancy
Pm1 Pm 0.000 0.500 0.167 1
Pm2 Pm 0.500 0.000 0.500 1
Pm3 Pm 0.500 0.500 0.833 1
B1 B 0.000 0.500 0.667 1
B2 B 0.500 0.000 0.000 1
B3 B 0.500 0.500 0.333 1
Pd1 Pd 0.153 0.305 0.500 1
Pd2 Pd 0.153 0.847 0.833 1
Pd3 Pd 0.305 0.153 0.167 1
Pd4 Pd 0.695 0.847 0.167 1
Pd5 Pd 0.847 0.153 0.833 1
Pd6 Pd 0.847 0.695 0.500 1
# space-group type = No. 180
# energy of formation = -660 meV/atom
# N(E_F) = 1.5 states/eV/f.u.
# E = -6.11 eV per atom
# total moment = 0.00 μB/cell

***

# PmBPd | Alexandria | PBE-GGA | optimized geometry
data_PmBPd
_chemical_formula_sum 'Pm2 B2 Pd2'
_symmetry_space_group_name_H-M 'P 1'
_symmetry_Int_Tables_number 1
_cell_length_a 7.691
_cell_length_b 7.691
_cell_length_c 4.251
_cell_angle_alpha 106.00
_cell_angle_beta 106.00
_cell_angle_gamma 25.27
loop_
_symmetry_equiv_pos_as_xyz
'x,y,z'
loop_
_atom_site_label
_atom_site_type_symbol
_atom_site_fract_x
_atom_site_fract_y
_atom_site_fract_z
_atom_site_occupancy
Pm1 Pm 0.134 0.134 0.384 1
Pm2 Pm 0.866 0.866 0.616 1
B1 B 0.271 0.271 0.021 1
B2 B 0.729 0.729 0.979 1
Pd1 Pd 0.439 0.439 0.190 1
Pd2 Pd 0.561 0.561 0.810 1
# space-group type = No. 12
# energy of formation = -509 meV/atom
# N(E_F) = 1.3 states/eV/f.u.
# E = -6.05 eV per atom
# total moment = 0.00 μB/cell

***

# PmBPd | Alexandria | PBE-GGA | optimized geometry
data_PmBPd
_chemical_formula_sum 'Pm1 B1 Pd1'
_symmetry_space_group_name_H-M 'P 1'
_symmetry_Int_Tables_number 1
_cell_length_a 3.906
_cell_length_b 3.906
_cell_length_c 4.055
_cell_angle_alpha 90.00
_cell_angle_beta 90.00
_cell_angle_gamma 120.00
loop_
_symmetry_equiv_pos_as_xyz
'x,y,z'
loop_
_atom_site_label
_atom_site_type_symbol
_atom_site_fract_x
_atom_site_fract_y
_atom_site_fract_z
_atom_site_occupancy
Pm1 Pm 0.000 0.000 0.000 1
B1 B 0.667 0.333 0.500 1
Pd1 Pd 0.333 0.667 0.500 1
# space-group type = No. 187
# energy of formation = -344 meV/atom
# N(E_F) = 2.5 states/eV/f.u.
# E = -5.88 eV per atom
# total moment = 0.00 μB/cell

***

# Pm2BPd6 | Alexandria | PBE-GGA | optimized geometry
data_Pm2BPd6
_chemical_formula_sum 'Pm2 B1 Pd6'
_symmetry_space_group_name_H-M 'P 1'
_symmetry_Int_Tables_number 1
_cell_length_a 5.873
_cell_length_b 5.873
_cell_length_c 5.231
_cell_angle_alpha 90.00
_cell_angle_beta 90.00
_cell_angle_gamma 120.00
loop_
_symmetry_equiv_pos_as_xyz
'x,y,z'
loop_
_atom_site_label
_atom_site_type_symbol
_atom_site_fract_x
_atom_site_fract_y
_atom_site_fract_z
_atom_site_occupancy
Pm1 Pm 0.333 0.667 0.231 1
Pm2 Pm 0.667 0.333 0.769 1
B1 B 0.000 0.000 0.000 1
Pd1 Pd 0.164 0.328 0.738 1
Pd2 Pd 0.164 0.836 0.738 1
Pd3 Pd 0.328 0.164 0.262 1
Pd4 Pd 0.672 0.836 0.738 1
Pd5 Pd 0.836 0.164 0.262 1
Pd6 Pd 0.836 0.672 0.262 1
# space-group type = No. 164
# energy of formation = -725 meV/atom
# N(E_F) = 1.9 states/eV/f.u.
# E = -5.98 eV per atom
# total moment = 0.00 μB/cell

***

# Pm2BPdPt6 | Alexandria | PBE-GGA | optimized geometry
data_Pm2BPdPt6
_chemical_formula_sum 'Pm2 B1 Pd1 Pt6'
_symmetry_space_group_name_H-M 'P 1'
_symmetry_Int_Tables_number 1
_cell_length_a 5.601
_cell_length_b 5.602
_cell_length_c 7.603
_cell_angle_alpha 68.49
_cell_angle_beta 68.56
_cell_angle_gamma 60.09
loop_
_symmetry_equiv_pos_as_xyz
'x,y,z'
loop_
_atom_site_label
_atom_site_type_symbol
_atom_site_fract_x
_atom_site_fract_y
_atom_site_fract_z
_atom_site_occupancy
Pm1 Pm 0.211 0.209 0.369 1
Pm2 Pm 0.789 0.791 0.631 1
B1 B 0.000 0.000 0.000 1
Pd1 Pd 0.500 0.500 0.500 1
Pt1 Pt 0.233 0.235 0.814 1
Pt2 Pt 0.234 0.720 0.814 1
Pt3 Pt 0.283 0.765 0.185 1
Pt4 Pt 0.717 0.235 0.815 1
Pt5 Pt 0.766 0.280 0.186 1
Pt6 Pt 0.767 0.765 0.186 1
# space-group type = No. 2
# energy of formation = -766 meV/atom
# N(E_F) = 6.5 states/eV/f.u.
# E = -6.53 eV per atom
# total moment = 0.00 μB/cell

***

# Pm3B2PdPt9 | Alexandria | PBE-GGA | optimized geometry
data_Pm3B2PdPt9
_chemical_formula_sum 'Pm3 B2 Pd1 Pt9'
_symmetry_space_group_name_H-M 'P 1'
_symmetry_Int_Tables_number 1
_cell_length_a 5.757
_cell_length_b 5.757
_cell_length_c 9.532
_cell_angle_alpha 90.00
_cell_angle_beta 90.00
_cell_angle_gamma 120.00
loop_
_symmetry_equiv_pos_as_xyz
'x,y,z'
loop_
_atom_site_label
_atom_site_type_symbol
_atom_site_fract_x
_atom_site_fract_y
_atom_site_fract_z
_atom_site_occupancy
Pm1 Pm 0.000 0.000 0.000 1
Pm2 Pm 0.333 0.667 0.601 1
Pm3 Pm 0.667 0.333 0.399 1
B1 B 0.333 0.667 0.147 1
B2 B 0.667 0.333 0.853 1
Pd1 Pd 0.000 0.000 0.500 1
Pt1 Pt 0.000 0.500 0.000 1
Pt2 Pt 0.164 0.328 0.278 1
Pt3 Pt 0.164 0.836 0.278 1
Pt4 Pt 0.328 0.164 0.722 1
Pt5 Pt 0.500 0.000 0.000 1
Pt6 Pt 0.500 0.500 0.000 1
Pt7 Pt 0.672 0.836 0.278 1
Pt8 Pt 0.836 0.164 0.722 1
Pt9 Pt 0.836 0.672 0.722 1
# space-group type = No. 164
# energy of formation = -764 meV/atom
# N(E_F) = 5.0 states/eV/f.u.
# E = -6.58 eV per atom
# total moment = 0.00 μB/cell

***

# Pm4B3Pd12Pt | Alexandria | PBE-GGA | optimized geometry
data_Pm4B3Pd12Pt
_chemical_formula_sum 'Pm4 B3 Pd12 Pt1'
_symmetry_space_group_name_H-M 'P 1'
_symmetry_Int_Tables_number 1
_cell_length_a 7.787
_cell_length_b 7.787
_cell_length_c 7.787
_cell_angle_alpha 109.47
_cell_angle_beta 109.47
_cell_angle_gamma 109.47
loop_
_symmetry_equiv_pos_as_xyz
'x,y,z'
loop_
_atom_site_label
_atom_site_type_symbol
_atom_site_fract_x
_atom_site_fract_y
_atom_site_fract_z
_atom_site_occupancy
Pm1 Pm 0.000 0.000 0.500 1
Pm2 Pm 0.000 0.500 0.000 1
Pm3 Pm 0.500 0.000 0.000 1
Pm4 Pm 0.500 0.500 0.500 1
B1 B 0.000 0.500 0.500 1
B2 B 0.500 0.000 0.500 1
B3 B 0.500 0.500 0.000 1
Pd1 Pd 0.000 0.283 0.283 1
Pd2 Pd 0.000 0.717 0.717 1
Pd3 Pd 0.250 0.500 0.750 1
Pd4 Pd 0.250 0.750 0.500 1
Pd5 Pd 0.283 0.000 0.283 1
Pd6 Pd 0.283 0.283 0.000 1
Pd7 Pd 0.500 0.250 0.750 1
Pd8 Pd 0.500 0.750 0.250 1
Pd9 Pd 0.717 0.000 0.717 1
Pd10 Pd 0.717 0.717 0.000 1
Pd11 Pd 0.750 0.250 0.500 1
Pd12 Pd 0.750 0.500 0.250 1
Pt1 Pt 0.000 0.000 0.000 1
# space-group type = No. 229
# energy of formation = -491 meV/atom
# N(E_F) = 16.1 states/eV/f.u.
# E = -5.86 eV per atom
# total moment = 0.00 μB/cell

***

# Pm2BPd2Pt4 | Alexandria | PBE-GGA | optimized geometry
data_Pm2BPd2Pt4
_chemical_formula_sum 'Pm2 B1 Pd2 Pt4'
_symmetry_space_group_name_H-M 'P 1'
_symmetry_Int_Tables_number 1
_cell_length_a 6.082
_cell_length_b 6.082
_cell_length_c 6.082
_cell_angle_alpha 121.55
_cell_angle_beta 121.55
_cell_angle_gamma 87.33
loop_
_symmetry_equiv_pos_as_xyz
'x,y,z'
loop_
_atom_site_label
_atom_site_type_symbol
_atom_site_fract_x
_atom_site_fract_y
_atom_site_fract_z
_atom_site_occupancy
Pm1 Pm 0.250 0.750 0.500 1
Pm2 Pm 0.750 0.250 0.500 1
B1 B 0.000 0.000 0.000 1
Pd1 Pd 0.260 0.260 0.000 1
Pd2 Pd 0.740 0.740 0.000 1
Pt1 Pt 0.255 0.255 0.510 1
Pt2 Pt 0.255 0.745 0.000 1
Pt3 Pt 0.745 0.255 0.000 1
Pt4 Pt 0.745 0.745 0.490 1
# space-group type = No. 139
# energy of formation = -899 meV/atom
# N(E_F) = 4.5 states/eV/f.u.
# E = -6.54 eV per atom
# total moment = 0.00 μB/cell